DFT (PBE-GGA) results for a relaxed structure of CaVCoMo2.

a b c (Å): 4.462 5.263 4.462
angles (deg): 90.00 90.00 90.00
Last column: magnetic moment on the atom in μB.
Atoms (fractional coordinates):
Ca1 0.000 0.500 0.000  -0.03
Mo1 0.500 0.000 0.000  0.06
V1 0.000 0.000 0.000  0.03
Co1 0.500 0.500 0.500  1.91
Mo2 0.000 0.000 0.500  0.03

E_form in eV per atom: 1.54
Theoretical density in g/cm³: 5.4
Size of the total moment in μB/f.u.: 1.9